Record 1
Compound: Ce6Si2Hg
Source: the Alexandria database
Functional: PBE
Structure: optimized geometry

Values from the calculation:
ΔE_f (raw) ... -0.318 eV per atom
Size of the total moment ... 5.26 μB per formula unit
Space-group type ... Immm

Structure (POSCAR):
```
Ce6Si2Hg
1.0
-4.730 4.813 5.185
4.730 -4.813 5.185
4.730 4.813 -5.185
Ce Si Hg
12 4 2
Direct
0.031 0.247 0.784
0.184 0.468 0.284
0.184 0.899 0.716
0.304 0.223 0.527
0.304 0.777 0.081
0.463 0.247 0.216
0.537 0.753 0.784
0.696 0.223 0.919
0.696 0.777 0.473
0.816 0.101 0.284
0.816 0.532 0.716
0.969 0.753 0.216
0.128 0.500 0.628
0.385 0.885 0.500
0.615 0.115 0.500
0.872 0.500 0.372
0.000 0.000 0.000
0.500 0.500 0.000
```

***

Record 2
Compound: LiBe2Ru
Source: the Alexandria database
Functional: PBE
Structure: optimized geometry

Values from the calculation:
Formation energy from the elements ... -0.021 eV/atom
Size of the total moment ... 0.00 μB per formula unit
Space-group type ... Cm

Structure (POSCAR):
```
LiBe2Ru
1.0
4.326 -1.263 0.000
4.326 1.263 0.000
-1.309 0.000 3.939
Li Be Ru
1 2 1
Direct
0.000 0.000 0.000
0.467 0.467 0.489
0.754 0.754 0.164
0.217 0.217 0.642
```

***

Record 3
Compound: TbNdDyAl
Source: the Alexandria database
Functional: PBE
Structure: optimized geometry

Values from the calculation:
Formation energy from the elements ... -0.041 eV/atom
Size of the total moment ... 0.55 μB per formula unit
Relative energy among the computed polymorphs ... 149.3 meV/atom
Space-group type ... F-43m

Structure (POSCAR):
```
TbNdDyAl
1.0
0.000 3.827 3.827
3.827 0.000 3.827
3.827 3.827 0.000
Tb Nd Dy Al
1 1 1 1
Direct
0.000 0.000 0.000
0.250 0.250 0.250
0.750 0.750 0.750
0.500 0.500 0.500
```

***

Record 4
Compound: Nd3Dy2Ho6Pb
Source: the Alexandria database
Functional: PBE
Structure: optimized geometry

Values from the calculation:
Formation energy from the elements ... -0.049 eV/atom
Size of the total moment ... 0.00 μB per formula unit
Space-group type ... C2/m

Structure (POSCAR):
```
Nd3Dy2Ho6Pb
1.0
3.074 -5.322 0.000
3.074 5.322 0.000
-2.058 0.000 11.499
Nd Dy Ho Pb
3 2 6 1
Direct
0.000 0.000 0.000
0.332 0.668 0.000
0.668 0.332 0.000
0.166 0.834 0.500
0.834 0.166 0.500
0.092 0.419 0.256
0.253 0.253 0.746
0.419 0.092 0.256
0.581 0.908 0.744
0.747 0.747 0.254
0.908 0.581 0.744
0.500 0.500 0.500
```

***

Record 5
Compound: LiCdFeOs2
Source: the Alexandria database
Functional: PBE
Structure: optimized geometry

Values from the calculation:
Formation energy from the elements ... 2.397 eV/atom
Size of the total moment ... 6.79 μB per formula unit
Space-group type ... P4/mmm

Structure (POSCAR):
```
LiCdFeOs2
1.0
4.963 0.000 0.000
0.000 4.963 0.000
0.000 0.000 4.756
Li Cd Fe Os
1 1 1 2
Direct
0.000 0.000 0.000
0.500 0.500 0.500
0.500 0.500 0.000
0.000 0.500 0.500
0.500 0.000 0.500
```

***

Record 6
Compound: TbPd5Au
Source: the Alexandria database
Functional: PBE
Structure: optimized geometry

Values from the calculation:
Formation energy from the elements ... 0.295 eV/atom
Size of the total moment ... 0.00 μB per formula unit
Space-group type ... Imm2

Structure (POSCAR):
```
TbPd5Au
1.0
-3.566 4.504 2.664
3.566 -4.504 2.664
3.566 4.504 -2.664
Tb Pd Au
1 5 1
Direct
0.000 0.000 0.000
0.072 0.338 0.734
0.487 0.487 0.000
0.604 0.338 0.266
0.677 0.358 0.681
0.677 0.996 0.319
0.182 0.682 0.500
```